The following is a DFT calculation (PBE+U) of a relaxed structure of NiF2.

M_tot = 0.665 μB per atom
final energy = -4.281 eV/atom
space-group type = No. 136

Cell: 4.700 4.700 3.114 Å, 90.00 90.00 90.00°
Positions (direct):
Ni: 0.500 0.500 0.500
Ni: 0.000 0.000 0.000
F: 0.696 0.696 0.000
F: 0.196 0.804 0.500
F: 0.304 0.304 0.000
F: 0.804 0.196 0.500